Record 1
Material: CaAl2Ir
Method: DFT, PBE
State: optimized geometry

a b c (Å): 3.2546 3.2187 7.8596
angles (deg): 65.84 90.00 90.00
Last column: nearest neighbours and their distance in Å.
Fractional coordinates of all 4 atoms:
Ir 0.5000 0.6840 0.8160  5 Al 2.53-2.73
Al 0.5000 0.3040 0.1961  1 Ir 2.73, 4 Al 2.81
Al 0.0000 0.0321 0.9679  4 Ir 2.53, 4 Al 2.81
Ca 0.0000 0.4799 0.5201  4 Ir 3.12, 5 Al 3.21-3.26, 4 Ca 3.22-3.25

Output
SG: Pmm2, No. 25
Energy: -5.014 eV/atom
DFT formation energy: -0.43 eV/atom

---

Record 2
Material: Y2CdS4
Method: DFT, PBE
State: optimized geometry

a b c (Å): 3.9721 6.9028 7.4725
angles (deg): 117.53 105.41 90.00
Last column: nearest neighbours and their distance in Å.
Fractional coordinates of all 7 atoms:
S 0.6391 0.2850 0.2783  3 Y 2.74-2.82, 2 Cd 2.84
Y 0.2728 0.2644 0.5456  6 S 2.69-2.82
Cd 0.0000 0.0000 0.0000  6 S 2.64-2.84
Y 0.7272 0.7356 0.4544  6 S 2.69-2.82
S 0.8755 0.1831 0.7510  1 Cd 2.64, 3 Y 2.69-2.79
S 0.3609 0.7150 0.7217  3 Y 2.74-2.82, 2 Cd 2.84
S 0.1245 0.8169 0.2490  1 Cd 2.64, 3 Y 2.69-2.79

Output
Uncorrected formation energy: -1086 kJ/mol of formula units
SG: C2/m, No. 12
Energy: -5.945 eV/atom

---

Record 3
Material: Nb2TcIrRu
Method: DFT, PBE
State: optimized geometry

a b c (Å): 4.7153 4.6615 4.7153
angles (deg): 90.00 90.00 90.00
Last column: nearest neighbours and their distance in Å.
Fractional coordinates of all 5 atoms:
Ru 0.0000 0.0000 0.0000  2 Ir 2.33, 4 Nb 2.36
Nb 0.5000 0.0000 0.0000  2 Ru 2.36
Nb 0.0000 0.0000 0.5000  2 Ru 2.36
Tc 0.5000 0.5000 0.5000  8 Nb 3.32, 4 Ir 3.33
Ir 0.0000 0.5000 0.0000  2 Ru 2.33

Output
SG: P4/mmm, No. 123
Energy: -8.261 eV/atom
DFT formation energy: 1.47 eV/atom

---

Record 4
Material: IrW
Method: DFT, PBE
State: optimized geometry

a b c (Å): 7.4151 5.2676 4.8071
angles (deg): 90.00 90.00 90.00
Last column: nearest neighbours and their distance in Å.
Fractional coordinates of all 12 atoms:
W 0.5000 0.8156 0.8984  8 Ir 2.74-2.88, 4 W 2.84-2.87
Ir 0.3221 0.9183 0.4088  6 W 2.58-2.84, 5 Ir 2.64-2.82
W 0.1793 0.5781 0.0913  6 Ir 2.58-2.87, 5 W 2.66-2.87
Ir 0.8221 0.0817 0.9088  6 W 2.58-2.84, 5 Ir 2.64-2.82
Ir 0.0000 0.6985 0.6035  8 W 2.74-2.88, 4 Ir 2.81-2.82
Ir 0.6779 0.9183 0.4088  6 W 2.58-2.84, 5 Ir 2.64-2.82
Ir 0.1779 0.0817 0.9088  6 W 2.58-2.84, 5 Ir 2.64-2.82
W 0.0000 0.1844 0.3984  8 Ir 2.74-2.88, 4 W 2.84-2.87
W 0.8207 0.5781 0.0913  6 Ir 2.58-2.87, 5 W 2.66-2.87
W 0.6793 0.4219 0.5913  6 Ir 2.58-2.87, 5 W 2.66-2.87
Ir 0.5000 0.3015 0.1035  8 W 2.74-2.88, 4 Ir 2.81-2.82
W 0.3207 0.4219 0.5913  6 Ir 2.58-2.87, 5 W 2.66-2.87

Output
SG: Pmn2_1, No. 31
Energy: -10.935 eV/atom
Offset from the most stable computed form: 272.8 meV per atom
DFT formation energy: -0.03 eV/atom

---

Record 5
Material: LiCaFe
Method: DFT, PBE
State: optimized geometry

a b c (Å): 3.1969 3.1969 7.3389
angles (deg): 90.00 90.00 120.00
Last column: nearest neighbours and their distance in Å.
Fractional coordinates of all 3 atoms:
Li 0.3333 0.6667 0.6232  3 Fe 2.75
Fe 0.6667 0.3333 0.3448  3 Li 2.75, 3 Ca 2.95
Ca 0.0000 0.0000 0.0320  3 Fe 2.95, 6 Ca 3.20

Output
SG: P3m1, No. 156
Energy: -3.491 eV/atom
Offset from the most stable computed form: 381.5 meV per atom
DFT formation energy: 0.63 eV/atom

---

Record 6
Material: KTlAs2Br
Method: DFT, PBE
State: optimized geometry

a b c (Å): 5.3595 5.3595 6.4655
angles (deg): 90.00 90.00 90.00
Last column: nearest neighbours and their distance in Å.
Fractional coordinates of all 5 atoms:
K 0.5000 0.5000 0.5000  4 Br 3.79, 8 As 4.20
Tl 0.0000 0.0000 0.0000  4 As 2.68
As 0.5000 0.0000 0.0000  2 Tl 2.68
Br 0.0000 0.0000 0.5000  2 Tl 3.23
As 0.0000 0.5000 0.0000  2 Tl 2.68

Output
Uncorrected formation energy: 48 kJ/mol of formula units
SG: P4/mmm, No. 123
Energy: -2.788 eV/atom
Offset from the most stable computed form: 0.0 meV per atom

---

Record 7
Material: Pr5TmGa6
Method: DFT, PBE
State: optimized geometry

a b c (Å): 5.2327 9.0248 9.0644
angles (deg): 59.97 73.03 54.53
Last column: nearest neighbours and their distance in Å.
Fractional coordinates of all 12 atoms:
Tm 0.0000 0.0000 0.0000  8 Ga 3.07-3.11
Ga 0.2731 0.2273 0.9999  2 Tm 3.10-3.11, 6 Pr 3.21-3.30, 1 Ga 3.34
Ga 0.2376 0.9236 0.6777  1 Tm 3.08, 7 Pr 3.15-3.27
Ga 0.7269 0.7727 0.0001  2 Tm 3.10-3.11, 6 Pr 3.21-3.30, 1 Ga 3.34
Pr 0.4999 0.8252 0.3497  8 Ga 3.15-3.22
Pr 0.0001 0.6624 0.6755  8 Ga 3.24-3.28
Pr 0.5001 0.1748 0.6503  8 Ga 3.15-3.22
Pr 0.9999 0.3376 0.3245  8 Ga 3.24-3.28
Ga 0.7624 0.0764 0.3223  1 Tm 3.08, 7 Pr 3.15-3.27
Ga 0.2376 0.6012 0.3224  1 Tm 3.07, 7 Pr 3.15-3.28
Ga 0.7624 0.3988 0.6776  1 Tm 3.07, 7 Pr 3.15-3.28
Pr 0.5000 0.5000 0.0000  8 Ga 3.18-3.30

Output
SG: P-1, No. 2
Energy: -4.421 eV/atom
DFT formation energy: -0.54 eV/atom

---

Record 8
Material: InTe2RhN
Method: DFT, PBE
State: optimized geometry

a b c (Å): 5.6398 5.6398 3.6727
angles (deg): 90.00 90.00 90.00
Last column: nearest neighbours and their distance in Å.
Fractional coordinates of all 5 atoms:
Rh 0.0000 0.0000 0.0000  2 N 1.84
Te 0.0000 0.5000 0.0000  2 Rh 2.82
Te 0.5000 0.0000 0.0000  2 Rh 2.82
N 0.0000 0.0000 0.5000  2 Rh 1.84
In 0.5000 0.5000 0.5000  8 Te 3.37, 2 In 3.67

Output
Uncorrected formation energy: 114 kJ/mol of formula units
SG: P4/mmm, No. 123
Energy: -4.703 eV/atom
Offset from the most stable computed form: 0.0 meV per atom

---

> Among the records above, which one has the lowest energy?

IrW

---

Please write out number 4 again, unchanged.
Material: IrW
Method: DFT, PBE
State: optimized geometry

a b c (Å): 7.4151 5.2676 4.8071
angles (deg): 90.00 90.00 90.00
Last column: nearest neighbours and their distance in Å.
Fractional coordinates of all 12 atoms:
W 0.5000 0.8156 0.8984  8 Ir 2.74-2.88, 4 W 2.84-2.87
Ir 0.3221 0.9183 0.4088  6 W 2.58-2.84, 5 Ir 2.64-2.82
W 0.1793 0.5781 0.0913  6 Ir 2.58-2.87, 5 W 2.66-2.87
Ir 0.8221 0.0817 0.9088  6 W 2.58-2.84, 5 Ir 2.64-2.82
Ir 0.0000 0.6985 0.6035  8 W 2.74-2.88, 4 Ir 2.81-2.82
Ir 0.6779 0.9183 0.4088  6 W 2.58-2.84, 5 Ir 2.64-2.82
Ir 0.1779 0.0817 0.9088  6 W 2.58-2.84, 5 Ir 2.64-2.82
W 0.0000 0.1844 0.3984  8 Ir 2.74-2.88, 4 W 2.84-2.87
W 0.8207 0.5781 0.0913  6 Ir 2.58-2.87, 5 W 2.66-2.87
W 0.6793 0.4219 0.5913  6 Ir 2.58-2.87, 5 W 2.66-2.87
Ir 0.5000 0.3015 0.1035  8 W 2.74-2.88, 4 Ir 2.81-2.82
W 0.3207 0.4219 0.5913  6 Ir 2.58-2.87, 5 W 2.66-2.87

Output
SG: Pmn2_1, No. 31
Energy: -10.935 eV/atom
Offset from the most stable computed form: 272.8 meV per atom
DFT formation energy: -0.03 eV/atom

---

What did the eighth record say?
Material: InTe2RhN
Method: DFT, PBE
State: optimized geometry

a b c (Å): 5.6398 5.6398 3.6727
angles (deg): 90.00 90.00 90.00
Last column: nearest neighbours and their distance in Å.
Fractional coordinates of all 5 atoms:
Rh 0.0000 0.0000 0.0000  2 N 1.84
Te 0.0000 0.5000 0.0000  2 Rh 2.82
Te 0.5000 0.0000 0.0000  2 Rh 2.82
N 0.0000 0.0000 0.5000  2 Rh 1.84
In 0.5000 0.5000 0.5000  8 Te 3.37, 2 In 3.67

Output
Uncorrected formation energy: 114 kJ/mol of formula units
SG: P4/mmm, No. 123
Energy: -4.703 eV/atom
Offset from the most stable computed form: 0.0 meV per atom